The following is a PBE calculation of crystalline La2BeAgIr at its relaxed geometry, from the Alexandria database.

Calculated values
- E_tot (eV/cell) = -26.69

Geometry as POSCAR:
```
La2BeAgIr
1.0
-4.102 -3.612 0.988
1.052 -2.518 -4.838
2.850 -2.684 2.017
La Ag Ir Be
2 1 1 1
Direct
0.000 0.500 0.000
0.500 0.000 0.000
0.500 0.500 0.500
0.000 0.000 0.000
0.000 0.000 0.500
```

The following is a PBE calculation of crystalline Nb2CdSiOs at its relaxed geometry, from the Alexandria database.

Calculated values
- formation energy from raw total energies (eV/atom) = 2.332

Geometry as POSCAR:
```
Nb2CdSiOs
1.0
4.932 0.000 0.000
0.000 4.799 0.000
0.000 0.000 4.932
Nb Os Cd Si
2 1 1 1
Direct
0.000 0.000 0.500
0.500 0.000 0.000
0.000 0.500 0.000
0.000 0.000 0.000
0.500 0.500 0.500
```

The following is a PBE calculation of crystalline Pm2Sm5Er4 at its relaxed geometry, from the Alexandria database.

Calculated values
- excess energy over the best structure of this formula in the dataset (eV/f.u.) = 0.29

Geometry as POSCAR:
```
Pm2Sm5Er4
1.0
-1.709 3.075 -0.551
-5.722 -4.186 -5.618
-2.809 -1.384 12.501
Er Pm Sm
4 2 5
Direct
0.597 0.567 0.193
0.985 0.296 0.971
0.015 0.704 0.029
0.403 0.433 0.807
0.733 0.657 0.466
0.267 0.343 0.534
0.171 0.930 0.342
0.500 0.000 0.000
0.125 0.282 0.251
0.829 0.070 0.658
0.875 0.718 0.749
```

The following is a PBE calculation of crystalline Cs2GePb at its relaxed geometry, from the Alexandria database.

Calculated values
- excess energy over the best structure of this formula in the dataset (eV/f.u.) = 0.27

Geometry as POSCAR:
```
Cs2GePb
1.0
8.993 0.944 -5.273
-7.144 3.930 6.564
4.087 -6.415 7.191
Cs Ge Pb
4 2 2
Direct
0.625 0.440 0.315
0.690 0.375 0.815
0.560 0.875 0.185
0.125 0.310 0.685
0.500 0.500 0.000
0.750 0.250 0.500
0.250 0.750 0.500
0.000 0.000 0.000
```

The following is a PBE calculation of crystalline LaV2As2 at its relaxed geometry, from the Alexandria database.

Calculated values
- excess energy over the best structure of this formula in the dataset (eV/f.u.) = 1.20

Geometry as POSCAR:
```
LaV2As2
1.0
-0.054 1.052 -4.722
4.550 -1.595 -0.407
0.850 -4.050 -3.391
V As La
2 2 1
Direct
0.619 0.619 0.763
0.381 0.381 0.237
0.750 0.250 0.500
0.250 0.750 0.500
0.000 0.000 0.000
```

The following is a PBE calculation of crystalline Ce3GeBi at its relaxed geometry, from the Alexandria database.

Calculated values
- E_tot (eV/cell) = -57.89

Geometry as POSCAR:
```
Ce3GeBi
1.0
-0.759 6.709 -3.743
-1.042 1.105 -5.768
-8.265 3.249 -0.461
Ce Bi Ge
6 2 2
Direct
0.904 0.907 0.785
0.311 0.093 0.784
0.096 0.093 0.215
0.689 0.907 0.216
0.310 0.499 0.381
0.690 0.501 0.619
0.715 0.500 0.000
0.285 0.500 0.000
0.250 0.000 0.500
0.750 0.000 0.500
```